#a
Material: SiAs3
Method: DFT, GGA-PBEsol
State: optimized geometry

Cell lengths 5.769, 5.769, 4.238 Å; angles 111.54, 111.54, 34.40 degrees
Sites, in units of the cell vectors:
Si1 0.000 0.000 0.000
As1 0.311 0.311 0.808
As2 0.500 0.500 0.500
As3 0.689 0.689 0.192

Results
- Crystal system: monoclinic
- D(E_F): 2.1 states/eV/cell
- Magnetization: 0.00 μB per formula unit
- SG: C2/m, No. 12

---

#b
Material: SiAs3
Method: DFT, GGA-PBEsol
State: optimized geometry

Cell lengths 5.433, 5.433, 5.433 Å; angles 117.06, 117.06, 117.06 degrees
Sites, in units of the cell vectors:
Si1 0.000 0.000 0.000
As1 0.000 0.500 0.500
As2 0.500 0.000 0.500
As3 0.500 0.500 0.000

Results
- Crystal system: trigonal
- D(E_F): 2.0 states/eV/cell
- Magnetization: 0.00 μB per formula unit
- SG: R-3m, No. 166

---

Short version: #a is the most stable of them.